Version P
Density functional theory data (meta-GGA SCAN) for HfRh3I at its PBEsol-relaxed geometry.

## Properties
Symmetry: Pm-3m

Cell lengths 4.704, 4.704, 4.704 Å; angles 90.00, 90.00, 90.00 degrees
Atoms (fractional coordinates):
Hf: 0.000 0.000 0.000
Rh: 0.000 0.500 0.500
Rh: 0.500 0.000 0.500
Rh: 0.500 0.500 0.000
I: 0.500 0.500 0.500

***

Version Q
Density functional theory data (meta-GGA SCAN) for HfRh3I at its PBEsol-relaxed geometry.

## Properties
Symmetry: Pm-3m

Cell lengths 4.757, 4.757, 4.757 Å; angles 90.00, 90.00, 90.00 degrees
Atoms (fractional coordinates):
Hf: 0.000 0.000 0.000
Rh: 0.000 0.000 0.500
Rh: 0.000 0.500 0.000
Rh: 0.500 0.000 0.000
I: 0.500 0.500 0.500

***

It is version Q that is the most stable of them.

***

Version P
Density functional theory data (meta-GGA SCAN) for Hf5Ir3 at its PBEsol-relaxed geometry.

## Properties
Symmetry: P6_122

Cell lengths 7.811, 7.811, 16.756 Å; angles 90.00, 90.00, 120.00 degrees
Atoms (fractional coordinates):
Hf: 0.000 0.248 0.333
Hf: 0.000 0.752 0.833
Hf: 0.010 0.237 0.993
Hf: 0.010 0.773 0.174
Hf: 0.227 0.237 0.507
Hf: 0.227 0.990 0.660
Hf: 0.237 0.010 0.340
Hf: 0.237 0.227 0.826
Hf: 0.242 0.621 0.583
Hf: 0.248 0.000 0.000
Hf: 0.248 0.248 0.167
Hf: 0.312 0.656 0.083
Hf: 0.344 0.656 0.417
Hf: 0.344 0.688 0.750
Hf: 0.379 0.621 0.917
Hf: 0.379 0.758 0.250
Hf: 0.621 0.242 0.750
Hf: 0.621 0.379 0.417
Hf: 0.656 0.312 0.250
Hf: 0.656 0.344 0.917
Hf: 0.688 0.344 0.583
Hf: 0.752 0.000 0.500
Hf: 0.752 0.752 0.667
Hf: 0.758 0.379 0.083
Hf: 0.763 0.773 0.326
Hf: 0.763 0.990 0.840
Hf: 0.773 0.010 0.160
Hf: 0.773 0.763 0.007
Hf: 0.990 0.227 0.674
Hf: 0.990 0.763 0.493
Ir: 0.000 0.381 0.833
Ir: 0.000 0.619 0.333
Ir: 0.027 0.419 0.191
Ir: 0.027 0.608 0.976
Ir: 0.381 0.000 0.500
Ir: 0.381 0.381 0.667
Ir: 0.392 0.419 0.309
Ir: 0.392 0.973 0.857
Ir: 0.419 0.027 0.143
Ir: 0.419 0.392 0.024
Ir: 0.581 0.608 0.524
Ir: 0.581 0.973 0.643
Ir: 0.608 0.027 0.357
Ir: 0.608 0.581 0.809
Ir: 0.619 0.000 0.000
Ir: 0.619 0.619 0.167
Ir: 0.973 0.392 0.476
Ir: 0.973 0.581 0.691

***

Version Q
Density functional theory data (meta-GGA SCAN) for Hf5Ir3 at its PBEsol-relaxed geometry.

## Properties
Symmetry: P6_3/mcm

Cell lengths 7.887, 7.887, 5.422 Å; angles 90.00, 90.00, 120.00 degrees
Atoms (fractional coordinates):
Hf: 0.000 0.241 0.250
Hf: 0.000 0.759 0.750
Hf: 0.241 0.000 0.250
Hf: 0.241 0.241 0.750
Hf: 0.333 0.667 0.000
Hf: 0.333 0.667 0.500
Hf: 0.667 0.333 0.000
Hf: 0.667 0.333 0.500
Hf: 0.759 0.000 0.750
Hf: 0.759 0.759 0.250
Ir: 0.000 0.399 0.750
Ir: 0.000 0.601 0.250
Ir: 0.399 0.000 0.750
Ir: 0.399 0.399 0.250
Ir: 0.601 0.000 0.250
Ir: 0.601 0.601 0.750

***

It is version P that is the most stable of them.

***

Version P
Density functional theory data (meta-GGA SCAN) for HfZnIr3 at its PBEsol-relaxed geometry.

## Properties
Symmetry: Pm-3m

Cell lengths 4.424, 4.424, 4.424 Å; angles 90.00, 90.00, 90.00 degrees
Atoms (fractional coordinates):
Hf: 0.000 0.000 0.000
Zn: 0.500 0.500 0.500
Ir: 0.000 0.500 0.500
Ir: 0.500 0.000 0.500
Ir: 0.500 0.500 0.000

***

Version Q
Density functional theory data (meta-GGA SCAN) for HfZnIr3 at its PBEsol-relaxed geometry.

## Properties
Symmetry: Pm-3m

Cell lengths 4.747, 4.747, 4.747 Å; angles 90.00, 90.00, 90.00 degrees
Atoms (fractional coordinates):
Hf: 0.000 0.000 0.000
Zn: 0.500 0.500 0.500
Ir: 0.000 0.000 0.500
Ir: 0.000 0.500 0.000
Ir: 0.500 0.000 0.000

***

It is version P that is the most stable of them.

***

Version P
Density functional theory data (meta-GGA SCAN) for KHfMg2 at its PBEsol-relaxed geometry.

## Properties
Symmetry: I-42d

Cell lengths 6.809, 6.809, 6.809 Å; angles 103.81, 103.81, 121.50 degrees
Atoms (fractional coordinates):
K: 0.000 0.000 0.000
K: 0.750 0.250 0.500
Hf: 0.250 0.750 0.500
Hf: 0.500 0.500 0.000
Mg: 0.145 0.125 0.520
Mg: 0.375 0.855 0.980
Mg: 0.605 0.625 0.480
Mg: 0.875 0.395 0.020

***

Version Q
Density functional theory data (meta-GGA SCAN) for KHfMg2 at its PBEsol-relaxed geometry.

## Properties
Symmetry: Fm-3m

Cell lengths 5.328, 5.328, 5.328 Å; angles 60.00, 60.00, 60.00 degrees
Atoms (fractional coordinates):
K: 0.000 0.000 0.000
Hf: 0.500 0.500 0.500
Mg: 0.250 0.250 0.250
Mg: 0.750 0.750 0.750

***

It is version Q that is the most stable of them.

***

Version P
Density functional theory data (meta-GGA SCAN) for La2HfO5 at its PBEsol-relaxed geometry.

## Properties
Symmetry: Pnma

Cell lengths 11.095, 3.908, 11.782 Å; angles 90.00, 90.00, 90.00 degrees
Atoms (fractional coordinates):
La: 0.110 0.250 0.222
La: 0.131 0.250 0.564
La: 0.369 0.750 0.064
La: 0.390 0.750 0.722
La: 0.610 0.250 0.278
La: 0.631 0.250 0.936
La: 0.869 0.750 0.436
La: 0.890 0.750 0.778
Hf: 0.179 0.250 0.883
Hf: 0.321 0.750 0.383
Hf: 0.679 0.250 0.617
Hf: 0.821 0.750 0.117
O: 0.003 0.750 0.602
O: 0.011 0.250 0.839
O: 0.231 0.250 0.047
O: 0.236 0.750 0.232
O: 0.237 0.750 0.886
O: 0.263 0.250 0.386
O: 0.264 0.250 0.732
O: 0.269 0.750 0.547
O: 0.489 0.750 0.339
O: 0.497 0.250 0.102
O: 0.503 0.750 0.898
O: 0.511 0.250 0.661
O: 0.731 0.250 0.453
O: 0.736 0.750 0.268
O: 0.737 0.750 0.614
O: 0.763 0.250 0.114
O: 0.764 0.250 0.768
O: 0.769 0.750 0.953
O: 0.989 0.750 0.161
O: 0.997 0.250 0.398

***

Version Q
Density functional theory data (meta-GGA SCAN) for La2HfO5 at its PBEsol-relaxed geometry.

## Properties
Symmetry: C2/c

Cell lengths 6.436, 6.436, 7.830 Å; angles 108.39, 108.39, 51.28 degrees
Atoms (fractional coordinates):
La: 0.145 0.198 0.333
La: 0.198 0.145 0.833
La: 0.802 0.855 0.167
La: 0.855 0.802 0.667
Hf: 0.500 0.500 0.000
Hf: 0.500 0.500 0.500
O: 0.110 0.596 0.398
O: 0.115 0.608 0.963
O: 0.367 0.633 0.750
O: 0.392 0.885 0.537
O: 0.404 0.890 0.102
O: 0.596 0.110 0.898
O: 0.608 0.115 0.463
O: 0.633 0.367 0.250
O: 0.885 0.392 0.037
O: 0.890 0.404 0.602

***

It is version P that is the most stable of them.

***

Version P
Density functional theory data (meta-GGA SCAN) for Li2Hf2O5 at its PBEsol-relaxed geometry.

## Properties
Symmetry: P2_1/c

Cell lengths 10.259, 3.788, 12.784 Å; angles 90.00, 126.00, 90.00 degrees
Atoms (fractional coordinates):
Li: 0.027 0.242 0.438
Li: 0.027 0.258 0.938
Li: 0.079 0.714 0.331
Li: 0.079 0.786 0.831
Li: 0.921 0.214 0.169
Li: 0.921 0.286 0.669
Li: 0.973 0.742 0.062
Li: 0.973 0.758 0.562
Hf: 0.327 0.698 0.134
Hf: 0.327 0.802 0.634
Hf: 0.331 0.157 0.358
Hf: 0.331 0.343 0.858
Hf: 0.669 0.657 0.142
Hf: 0.669 0.843 0.642
Hf: 0.673 0.198 0.366
Hf: 0.673 0.302 0.866
O: 0.104 0.748 0.497
O: 0.104 0.752 0.997
O: 0.131 0.215 0.340
O: 0.131 0.285 0.840
O: 0.281 0.679 0.275
O: 0.281 0.821 0.775
O: 0.386 0.192 0.208
O: 0.386 0.308 0.708
O: 0.414 0.678 0.025
O: 0.414 0.822 0.525
O: 0.586 0.178 0.475
O: 0.586 0.322 0.975
O: 0.614 0.692 0.292
O: 0.614 0.808 0.792
O: 0.719 0.179 0.225
O: 0.719 0.321 0.725
O: 0.869 0.715 0.160
O: 0.869 0.785 0.660
O: 0.896 0.248 0.003
O: 0.896 0.252 0.503

***

Version Q
Density functional theory data (meta-GGA SCAN) for Li2Hf2O5 at its PBEsol-relaxed geometry.

## Properties
Symmetry: C2/c

Cell lengths 5.538, 5.538, 7.468 Å; angles 109.39, 109.39, 70.91 degrees
Atoms (fractional coordinates):
Li: 0.183 0.787 0.540
Li: 0.213 0.817 0.960
Li: 0.787 0.183 0.040
Li: 0.817 0.213 0.460
Hf: 0.222 0.281 0.880
Hf: 0.281 0.222 0.380
Hf: 0.719 0.778 0.620
Hf: 0.778 0.719 0.120
O: 0.000 0.500 0.500
O: 0.028 0.972 0.250
O: 0.078 0.367 0.131
O: 0.367 0.078 0.631
O: 0.500 0.000 0.000
O: 0.500 0.500 0.000
O: 0.500 0.500 0.500
O: 0.633 0.922 0.369
O: 0.922 0.633 0.869
O: 0.972 0.028 0.750

***

It is version Q that is the most stable of them.